{
  "formula": "Mn2CrRh",
  "functional": "PBE",
  "state": "relaxed",
  "cell": [[-2.518, -0.627, 0.253], [0.998, -1.054, -2.166], [2.045, -6.546, 4.128]],
  "species": ["Cr", "Mn", "Mn", "Rh"],
  "frac_coords": [[0.500, 0.500, 0.750], [0.000, 0.000, 0.985], [0.000, 0.000, 0.515], [0.500, 0.500, 0.250]]
}

***

{
  "formula": "MnCrRh2",
  "functional": "PBE",
  "state": "relaxed",
  "cell": [[5.090, -0.012, -0.041], [2.464, 4.453, 0.041], [-3.272, -3.080, 2.391]],
  "species": ["Cr", "Mn", "Rh", "Rh"],
  "frac_coords": [[0.480, 0.480, 0.000], [0.263, 0.763, 0.500], [0.019, 0.019, 0.000], [0.738, 0.238, 0.500]]
}

***

{
  "formula": "MnCrRh2",
  "functional": "PBE",
  "state": "relaxed",
  "cell": [[-3.749, 0.023, 2.740], [-3.828, -0.790, -2.507], [4.065, -2.227, 0.284]],
  "species": ["Cr", "Mn", "Rh", "Rh"],
  "frac_coords": [[0.500, 0.500, 0.000], [0.750, 0.250, 0.500], [0.000, 0.000, 0.000], [0.250, 0.750, 0.500]]
}

***

Quick rundown of DFT total energy, same order as above: -8.687 -8.365 -8.479 eV/atom
Quick rundown of energy of formation from the pure elements, same order as above: 0.142 0.009 -0.105 eV per atom